Hf2TaTe: relaxed, PBE.

Unit cell a=3.147 b=3.147 c=10.614 alpha=81.47 beta=81.47 gamma=60.00
Sites, in units of the cell vectors:
Te  0.500  0.500  0.500
Hf  0.089  0.089  0.734
Hf  0.911  0.911  0.266
Ta  0.000  0.000  0.000

raw formation energy = 0.4206 eV per atom
DOS at the Fermi energy = 2.58 states/eV per cell

Co2SbP: relaxed, PBE.

Unit cell a=5.054 b=5.054 c=5.054 alpha=138.58 beta=138.58 gamma=60.01
Site moments in Bohr magnetons follow the coordinates.
Sites, in units of the cell vectors:
Co  0.000  0.000  0.000  0.44
Co  0.250  0.750  0.500  0.10
P  0.500  0.500  0.000  0.03
Sb  0.750  0.250  0.500  0.00

raw formation energy = 0.2839 eV per atom
DOS at the Fermi energy = 3.89 states/eV per cell
polymorph energy (0 for the lowest one) = 48.61 kJ per mole of atoms

AlCoAu2: relaxed, PBE.

Unit cell a=5.104 b=5.104 c=5.104 alpha=142.78 beta=129.75 gamma=64.17
Site moments in Bohr magnetons follow the coordinates.
Sites, in units of the cell vectors:
Co  0.476  0.476  0.000  1.17
Au  0.019  0.019  0.000  0.00
Au  0.743  0.243  0.500  0.00
Al  0.262  0.762  0.500  -0.01

DOS at the Fermi energy = 3.15 states/eV per cell
formation energy from the elements = -95 meV per atom

PuGaO3: relaxed, PBE.

Unit cell a=3.873 b=3.873 c=3.873 alpha=90.00 beta=90.00 gamma=90.00
Site moments in Bohr magnetons follow the coordinates.
Sites, in units of the cell vectors:
Pu  0.000  0.000  0.000  5.08
Ga  0.500  0.500  0.500  0.01
O  0.500  0.500  0.000  -0.05
O  0.500  0.000  0.500  -0.05
O  0.000  0.500  0.500  -0.05

raw formation energy = -2.2285 eV per atom
DOS at the Fermi energy = 6.60 states/eV per cell

Rb3H5Pt: relaxed, PBE.

Unit cell a=7.738 b=7.738 c=5.953 alpha=90.00 beta=90.00 gamma=90.00
Sites, in units of the cell vectors:
Rb  0.500  0.500  0.000
Rb  0.000  0.000  0.000
Rb  0.185  0.685  0.500
Rb  0.815  0.315  0.500
Rb  0.685  0.815  0.500
Rb  0.315  0.185  0.500
H  0.500  0.500  0.500
H  0.000  0.000  0.500
H  0.609  0.109  0.805
H  0.391  0.891  0.805
H  0.109  0.391  0.805
H  0.891  0.609  0.805
H  0.391  0.891  0.195
H  0.609  0.109  0.195
H  0.891  0.609  0.195
H  0.109  0.391  0.195
Pt  0.500  0.000  0.000
Pt  0.000  0.500  0.000

DOS at the Fermi energy = 0.00 states/eV per cell
E = -3.21 eV/atom

Ce3Y2PuP6: relaxed, PBE.

Unit cell a=7.017 b=7.017 c=7.004 alpha=99.61 beta=99.61 gamma=120.00
Site moments in Bohr magnetons follow the coordinates.
Sites, in units of the cell vectors:
Ce  0.167  0.833  0.500  0.48
Ce  0.833  0.167  0.500  0.48
Ce  0.500  0.500  0.500  0.49
Y  0.333  0.667  0.000  0.02
Y  0.667  0.333  0.000  0.02
Pu  0.000  0.000  0.000  4.99
P  0.918  0.586  0.753  -0.04
P  0.751  0.751  0.247  -0.04
P  0.082  0.414  0.247  -0.04
P  0.586  0.918  0.753  -0.04
P  0.249  0.249  0.753  -0.04
P  0.414  0.082  0.247  -0.04

DOS at the Fermi energy = 22.49 states/eV per cell
formation energy from the elements = -1485 meV per atom

CeGaSbO6: relaxed, PBE.

Unit cell a=5.208 b=5.208 c=9.884 alpha=90.00 beta=90.00 gamma=120.00
Sites, in units of the cell vectors:
Ce  0.000  0.000  0.000
Ce  0.000  0.000  0.500
Ga  0.667  0.333  0.250
Ga  0.333  0.667  0.750
Sb  0.333  0.667  0.250
Sb  0.667  0.333  0.750
O  0.644  0.644  0.138
O  0.000  0.356  0.138
O  0.356  0.000  0.638
O  0.000  0.644  0.862
O  0.356  0.356  0.362
O  0.000  0.644  0.362
O  0.644  0.000  0.862
O  0.644  0.000  0.362
O  0.000  0.356  0.638
O  0.356  0.000  0.138
O  0.644  0.644  0.638
O  0.356  0.356  0.862

raw formation energy = -2.1867 eV per atom

CsKVSe4: relaxed, PBE.

Unit cell a=7.747 b=6.177 c=11.147 alpha=90.00 beta=102.80 gamma=90.00
Sites, in units of the cell vectors:
Cs  0.740  0.750  0.968
Cs  0.260  0.250  0.032
K  0.776  0.750  0.447
K  0.224  0.250  0.553
V  0.228  0.750  0.305
V  0.772  0.250  0.695
Se  0.988  0.520  0.748
Se  0.012  0.020  0.252
Se  0.012  0.480  0.252
Se  0.988  0.980  0.748
Se  0.433  0.750  0.187
Se  0.567  0.250  0.813
Se  0.354  0.750  0.506
Se  0.646  0.250  0.494

raw formation energy = -0.8741 eV per atom
DOS at the Fermi energy = 3.38 states/eV per cell

Question: Number 5 is which compound?
Answer: Rb3H5Pt